No. 1
VASP calculation (PBE) on a geometry-optimized CsBaAl2 structure.

Values from the calculation:
Energy relative to the elements, meV per atom: 371
E_tot, eV per atom: -2.194
Total magnetization, μB/f.u.: 0.00

abc: 6.0238 6.0238 6.0238
angles: 60.00 60.00 60.00
Last column: nearest neighbours and their distance in Å.
Fractional coordinates of all 4 atoms:
Cs: 0.0000 0.0000 0.0000  8 Al 3.69
Ba: 0.5000 0.5000 0.5000  8 Al 3.69
Al: 0.2500 0.2500 0.2500  4 Ba 3.69, 4 Cs 3.69
Al: 0.7500 0.7500 0.7500  4 Ba 3.69, 4 Cs 3.69



No. 2
VASP calculation (PBE) on a geometry-optimized Pm4Sm8Y structure.

Values from the calculation:
Energy relative to the elements, meV per atom: 192
E_tot, eV per atom: -4.671
Total magnetization, μB/f.u.: 0.00

abc: 7.4243 7.4242 10.3021
angles: 90.00 111.12 120.00
Last column: nearest neighbours and their distance in Å.
Fractional coordinates of all 13 atoms:
Pm: 0.0000 0.0000 0.0000  6 Sm 3.41, 6 Pm 3.71
Pm: 0.0000 0.5000 0.0000  6 Sm 3.63-3.96, 6 Pm 3.71
Pm: 0.5000 0.5000 0.0000  6 Sm 3.63-3.96, 6 Pm 3.71
Pm: 0.5000 0.0000 0.0000  6 Sm 3.63-3.96, 6 Pm 3.71
Sm: 0.5700 0.7850 0.3550  9 Sm 3.73-3.75, 3 Pm 3.96
Sm: 0.4300 0.2150 0.6450  9 Sm 3.73-3.75, 3 Pm 3.96
Sm: 0.4976 0.2488 0.3022  1 Y 3.02, 2 Sm 3.30
Sm: 0.9466 0.1954 0.6978  1 Y 3.02, 2 Sm 3.30
Sm: 0.5024 0.7512 0.6978  1 Y 3.02, 2 Sm 3.30
Sm: 0.9466 0.7512 0.6978  1 Y 3.02, 2 Sm 3.30
Sm: 0.0534 0.2488 0.3022  1 Y 3.02, 2 Sm 3.30
Sm: 0.0534 0.8046 0.3022  1 Y 3.02, 2 Sm 3.30
Y: 0.0000 0.5000 0.5000  6 Sm 3.02



No. 3
VASP calculation (PBE) on a geometry-optimized PrErTm2Hg4 structure.

Values from the calculation:
Energy relative to the elements, meV per atom: -462
E_tot, eV per atom: -2.899
Total magnetization, μB/f.u.: 0.45

abc: 5.2576 5.2576 9.1975
angles: 73.39 73.39 60.00
Last column: nearest neighbours and their distance in Å.
Fractional coordinates of all 8 atoms:
Pr: 0.0000 0.0000 0.0000  8 Hg 3.26-3.32
Er: 0.5000 0.5000 0.5000  8 Hg 3.15-3.20
Tm: 0.7513 0.7513 0.7462  8 Hg 3.15-3.39
Tm: 0.2487 0.2487 0.2538  8 Hg 3.15-3.39
Hg: 0.3791 0.3791 0.8628  1 Er 3.15, 4 Tm 3.20-3.39, 3 Pr 3.26
Hg: 0.8724 0.8724 0.3829  4 Tm 3.15-3.24, 3 Er 3.20, 1 Pr 3.32
Hg: 0.1276 0.1276 0.6171  4 Tm 3.15-3.24, 3 Er 3.20, 1 Pr 3.32
Hg: 0.6209 0.6209 0.1372  1 Er 3.15, 4 Tm 3.20-3.39, 3 Pr 3.26



> energy relative to the elements of number 2 (Pm4Sm8Y)?

192 meV per atom



> Number 3 is which compound?

PrErTm2Hg4